This record from Alexandria describes crystalline AlAgAs2 at its relaxed geometry. The functional is PBEsol.

a = 5.098 Å, b = 5.098 Å, c = 5.098 Å
α = 132.19°, β = 132.19°, γ = 69.93°
Fractional coordinates of all 4 atoms:
Al1 0.000 0.000 0.000
Ag1 0.250 0.750 0.500
As1 0.500 0.500 0.000
As2 0.750 0.250 0.500

Properties
symmetry = I-4m2
VASP energy = -16.72 eV per cell
density of states at the Fermi level = 1.55 states/eV/f.u.
formation energy = 0.223 eV/atom

This record from Alexandria describes crystalline AlAg2AsN at its relaxed geometry. The functional is PBEsol.

a = 4.921 Å, b = 4.921 Å, c = 4.685 Å
α = 90.00°, β = 90.00°, γ = 90.00°
Fractional coordinates of all 5 atoms:
Al1 0.000 0.000 0.000
Ag1 0.000 0.500 0.000
Ag2 0.500 0.000 0.000
As1 0.000 0.000 0.500
N1 0.500 0.500 0.500

Properties
symmetry = P4/mmm
VASP energy = -16.54 eV per cell
formation energy from raw total energies = 1.562 eV per atom
density of states at the Fermi level = 1.47 states/eV/f.u.

This record from Alexandria describes crystalline AlAgAs2Rh at its relaxed geometry. The functional is PBEsol.

a = 4.750 Å, b = 4.750 Å, c = 4.638 Å
α = 90.00°, β = 90.00°, γ = 90.00°
Fractional coordinates of all 5 atoms:
Al1 0.000 0.000 0.000
Ag1 0.500 0.500 0.000
As1 0.000 0.500 0.500
As2 0.500 0.000 0.500
Rh1 0.000 0.000 0.500

Properties
symmetry = P4/mmm
VASP energy = -23.75 eV per cell
density of states at the Fermi level = 3.60 states/eV/f.u.
formation energy = 0.402 eV/atom

This record from Alexandria describes crystalline AlAgSbAs2 at its relaxed geometry. The functional is PBEsol.

a = 4.838 Å, b = 4.838 Å, c = 5.481 Å
α = 90.00°, β = 90.00°, γ = 90.00°
Fractional coordinates of all 5 atoms:
Al1 0.000 0.000 0.000
Ag1 0.500 0.500 0.500
Sb1 0.500 0.500 0.000
As1 0.000 0.500 0.500
As2 0.500 0.000 0.500

Properties
symmetry = P4/mmm
VASP energy = -17.73 eV per cell
formation energy from raw total energies = 0.888 eV per atom
density of states at the Fermi level = 4.86 states/eV/f.u.

This record from Alexandria describes crystalline AlAg2Au at its relaxed geometry. The functional is PBEsol.

a = 4.947 Å, b = 4.947 Å, c = 4.947 Å
α = 134.93°, β = 129.59°, γ = 69.91°
Fractional coordinates of all 4 atoms:
Al1 0.000 0.000 0.000
Ag1 0.493 0.493 0.000
Ag2 0.756 0.256 0.500
Au1 0.232 0.732 0.500

Properties
symmetry = Imm2
VASP energy = -15.35 eV per cell
density of states at the Fermi level = 1.18 states/eV/f.u.
formation energy = -0.179 eV/atom

This record from Alexandria describes crystalline AlAgAu2 at its relaxed geometry. The functional is PBEsol.

a = 4.940 Å, b = 4.940 Å, c = 4.940 Å
α = 134.82°, β = 128.99°, γ = 70.48°
Fractional coordinates of all 4 atoms:
Al1 0.000 0.000 0.000
Ag1 0.500 0.500 0.000
Au1 0.233 0.733 0.500
Au2 0.767 0.267 0.500

Properties
symmetry = Immm
VASP energy = -16.18 eV per cell
density of states at the Fermi level = 1.27 states/eV/f.u.
formation energy = -0.232 eV/atom

This record from Alexandria describes crystalline AlAg2Au at its relaxed geometry. The functional is PBEsol.

a = 4.980 Å, b = 4.980 Å, c = 4.739 Å
α = 107.06°, β = 107.06°, γ = 35.57°
Fractional coordinates of all 4 atoms:
Al1 0.000 0.000 0.000
Ag1 0.498 0.498 0.509
Ag2 0.735 0.735 0.287
Au1 0.266 0.266 0.811

Properties
symmetry = Cm
VASP energy = -15.29 eV per cell
density of states at the Fermi level = 0.98 states/eV/f.u.
formation energy = -0.162 eV/atom

This record from Alexandria describes crystalline AlAg2Au at its relaxed geometry. The functional is PBEsol.

a = 4.898 Å, b = 4.898 Å, c = 4.898 Å
α = 131.50°, β = 131.50°, γ = 71.02°
Fractional coordinates of all 4 atoms:
Al1 0.000 0.000 0.000
Ag1 0.250 0.750 0.500
Ag2 0.500 0.500 0.000
Au1 0.750 0.250 0.500

Properties
symmetry = I-4m2
VASP energy = -15.36 eV per cell
density of states at the Fermi level = 1.14 states/eV/f.u.
formation energy = -0.180 eV/atom

This record from Alexandria describes crystalline AlAgAu at its relaxed geometry. The functional is PBEsol.

a = 4.997 Å, b = 4.997 Å, c = 4.997 Å
α = 141.46°, β = 141.46°, γ = 55.65°
Fractional coordinates of all 3 atoms:
Al1 0.000 0.000 0.000
Ag1 0.666 0.666 0.000
Au1 0.351 0.351 0.000

Properties
symmetry = I4mm
VASP energy = -12.09 eV per cell
density of states at the Fermi level = 0.73 states/eV/f.u.
formation energy = -0.255 eV/atom

This record from Alexandria describes crystalline Al3AgAu at its relaxed geometry. The functional is PBEsol.

a = 4.746 Å, b = 4.746 Å, c = 4.746 Å
α = 90.00°, β = 90.00°, γ = 90.00°
Fractional coordinates of all 5 atoms:
Al1 0.000 0.000 0.500
Al2 0.000 0.500 0.000
Al3 0.500 0.000 0.000
Ag1 0.000 0.000 0.000
Au1 0.500 0.500 0.500

Properties
symmetry = Pm-3m
VASP energy = -17.06 eV per cell
density of states at the Fermi level = 1.28 states/eV/f.u.
formation energy = 0.491 eV/atom

This record from Alexandria describes crystalline AlAgAu at its relaxed geometry. The functional is PBEsol.

a = 4.436 Å, b = 4.436 Å, c = 2.879 Å
α = 90.00°, β = 90.00°, γ = 120.00°
Fractional coordinates of all 3 atoms:
Al1 0.000 0.000 0.000
Ag1 0.667 0.333 0.500
Au1 0.333 0.667 0.000

Properties
symmetry = P-6m2
VASP energy = -11.96 eV per cell
density of states at the Fermi level = 0.55 states/eV/f.u.
formation energy = -0.211 eV/atom

This record from Alexandria describes crystalline Al2AgAu2 at its relaxed geometry. The functional is PBEsol.

a = 7.541 Å, b = 7.541 Å, c = 3.056 Å
α = 90.00°, β = 90.00°, γ = 90.00°
Fractional coordinates of all 10 atoms:
Al1 0.161 0.339 0.000
Al2 0.339 0.839 0.000
Al3 0.661 0.161 0.000
Al4 0.839 0.661 0.000
Ag1 0.000 0.000 0.500
Ag2 0.500 0.500 0.500
Au1 0.139 0.639 0.500
Au2 0.361 0.139 0.500
Au3 0.639 0.861 0.500
Au4 0.861 0.361 0.500

Properties
symmetry = P4/mbm
VASP energy = -41.27 eV per cell
density of states at the Fermi level = 1.30 states/eV/f.u.
formation energy = -0.259 eV/atom